Computed, not measured: MgCr3O9 after structural relaxation at the GGA+U level of DFT.

Geometry as CIF:
```
data_MgCr3O9
_chemical_formula_sum 'Mg4 Cr12 O36'
_cell_length_a 14.4518
_cell_length_b 7.0310
_cell_length_c 10.4481
_cell_angle_alpha 90.00
_cell_angle_beta 127.40
_cell_angle_gamma 90.00
_space_group_name_H-M_alt 'C 1 c 1'
_space_group_IT_number 9
loop_
_space_group_symop_operation_xyz
'x,y,z'
'x,-y,z+1/2'
'x+1/2,y+1/2,z'
'x+1/2,-y+1/2,z+1/2'
loop_
_atom_site_label
_atom_site_type_symbol
_atom_site_fract_x
_atom_site_fract_y
_atom_site_fract_z
Mg1 Mg 0.0000 0.2324 0.0000
Cr1 Cr 0.1346 0.0995 0.8254
Cr2 Cr 0.2384 0.4424 0.7271
Cr3 Cr 0.3690 0.0788 0.6746
O1 O 0.0359 0.1034 0.8565
O2 O 0.1134 0.0473 0.1876
O3 O 0.1546 0.3400 0.7730
O4 O 0.1593 0.3909 0.0975
O5 O 0.2693 0.2737 0.6390
O6 O 0.2790 0.0799 0.0101
O7 O 0.3574 0.4656 0.3870
O8 O 0.4163 0.0404 0.3400
O9 O 0.4640 0.1638 0.6510
```

Output
The total magnetization comes out at 8.000 μB/cell. For the total energy, the calculation gives -6.708 eV per atom.